# 1
A relaxed structure of Li2La2Ga, computed with PBE. Values from VASP.

```
&SYSTEM
  ibrav = 0, nat = 5, ntyp = 3
/
ATOMIC_SPECIES
La 138.91 La.upf
Ga 69.72 Ga.upf
Li 6.94 Li.upf
ATOMIC_POSITIONS angstrom
La 0.536 -9.620 0.425
La -0.823 -3.022 0.734
Ga 0.000 0.000 0.000
Li -0.813 -6.407 -0.525
Li 0.526 -6.235 1.684
CELL_PARAMETERS angstrom
-0.449 -1.268 3.405
-3.127 -1.612 -1.013
3.289 -9.762 -1.233
```

## Properties
Its spin magnetization is 0.00 μB per formula unit. The formation energy from the elements is -0.12 eV/atom. The final energy is -3.464 eV per atom. Its space group is No. 139.

# 2
A relaxed structure of Fe2CoRh2, computed with PBE. Values from VASP.

```
&SYSTEM
  ibrav = 0, nat = 10, ntyp = 3
/
ATOMIC_SPECIES
Rh 102.91 Rh.upf
Fe 55.84 Fe.upf
Co 58.93 Co.upf
ATOMIC_POSITIONS angstrom
Rh 2.450 1.047 1.417
Fe 5.942 4.549 0.000
Rh 4.544 5.948 1.417
Fe 2.445 5.942 0.000
Co 3.497 3.497 0.000
Fe 1.052 2.445 0.000
Rh 5.948 2.450 1.417
Co 0.000 0.000 0.000
Fe 4.549 1.052 0.000
Rh 1.047 4.544 1.417
CELL_PARAMETERS angstrom
6.994 0.000 0.000
0.000 6.994 0.000
0.000 0.000 2.834
```

## Properties
Its spin magnetization is 9.41 μB per formula unit. The formation energy from the elements is 0.24 eV/atom. The final energy is -7.502 eV per atom. Its space group is No. 127.

# 3
A relaxed structure of Nd2SmZr, computed with PBE. Values from VASP.

```
&SYSTEM
  ibrav = 0, nat = 4, ntyp = 3
/
ATOMIC_SPECIES
Sm 150.36 Sm.upf
Nd 144.24 Nd.upf
Zr 91.22 Zr.upf
ATOMIC_POSITIONS angstrom
Sm 0.000 0.000 0.000
Nd 8.378 4.837 3.420
Zr 5.585 3.225 2.280
Nd 2.793 1.612 1.140
CELL_PARAMETERS angstrom
5.585 0.000 0.000
2.793 4.837 0.000
2.793 1.612 4.560
```

## Properties
Its spin magnetization is 0.86 μB per formula unit. The formation energy from the elements is 0.24 eV/atom. The final energy is -5.463 eV per atom. Its space group is No. 225.

# 4
A relaxed structure of CaTe2AuI, computed with PBE. Values from VASP.

```
&SYSTEM
  ibrav = 0, nat = 5, ntyp = 4
/
ATOMIC_SPECIES
Au 196.97 Au.upf
I 126.90 I.upf
Ca 40.08 Ca.upf
Te 127.60 Te.upf
ATOMIC_POSITIONS angstrom
Au 2.987 2.987 2.927
I 0.000 0.000 2.927
Ca 0.000 0.000 0.000
Te 2.987 0.000 0.000
Te 0.000 2.987 0.000
CELL_PARAMETERS angstrom
5.975 0.000 0.000
0.000 5.975 0.000
0.000 0.000 5.854
```

## Properties
Its spin magnetization is 1.62 μB per formula unit. The final energy is -2.398 eV per atom. The formation energy from raw total energies comes out at 1.1 eV per formula unit. Its space group is No. 123.

# 5
A relaxed structure of PrSc2V, computed with PBE. Values from VASP.

```
&SYSTEM
  ibrav = 0, nat = 4, ntyp = 3
/
ATOMIC_SPECIES
Pr 140.91 Pr.upf
Sc 44.96 Sc.upf
V 50.94 V.upf
ATOMIC_POSITIONS angstrom
Pr -4.484 0.737 1.674
Sc -5.648 3.749 0.176
V -0.997 -1.576 1.565
Sc -1.325 0.879 0.041
CELL_PARAMETERS angstrom
-1.904 -2.854 -0.299
-0.091 -0.299 3.430
-6.973 4.628 0.218
```

## Properties
Its spin magnetization is 3.27 μB per formula unit. The formation energy from the elements is 0.17 eV/atom. The final energy is -6.466 eV per atom. Its space group is No. 123.

# 6
A relaxed structure of LaPr2Th, computed with PBE. Values from VASP.

```
&SYSTEM
  ibrav = 0, nat = 8, ntyp = 3
/
ATOMIC_SPECIES
Th 232.04 Th.upf
La 138.91 La.upf
Pr 140.91 Pr.upf
ATOMIC_POSITIONS angstrom
Th -10.318 4.585 4.261
La -16.510 5.131 5.769
Th 0.000 0.000 0.000
Pr -13.640 5.589 3.339
La -6.005 2.196 0.186
Pr -19.006 7.973 5.555
Pr -8.875 1.738 2.616
Pr -3.509 -0.646 0.401
CELL_PARAMETERS angstrom
-0.659 1.553 -3.266
-1.220 -3.396 0.700
-20.636 9.171 8.521
```

## Properties
Its spin magnetization is 0.00 μB per formula unit. The formation energy from the elements is 0.03 eV/atom. The final energy is -5.444 eV per atom. Its space group is No. 194.

# 7
A relaxed structure of Tb6Ga2Pd, computed with PBE. Values from VASP.

```
&SYSTEM
  ibrav = 0, nat = 9, ntyp = 3
/
ATOMIC_SPECIES
Ga 69.72 Ga.upf
Tb 158.93 Tb.upf
Pd 106.42 Pd.upf
ATOMIC_POSITIONS angstrom
Ga -0.983 2.419 4.176
Tb 5.185 -1.669 2.190
Ga 2.923 -0.605 3.972
Tb 1.218 1.343 2.366
Tb 0.721 0.472 5.781
Tb 4.724 1.655 3.011
Tb -2.785 0.159 5.137
Tb 1.652 -1.984 1.541
Pd 0.000 0.000 0.000
CELL_PARAMETERS angstrom
-0.072 -4.269 2.461
6.910 0.616 1.270
-4.898 5.467 4.417
```

## Properties
Its spin magnetization is 0.00 μB per formula unit. The formation energy from the elements is -0.32 eV/atom. The final energy is -4.658 eV per atom. Its space group is No. 71.

# 8
A relaxed structure of LiLaAl2Zn4, computed with PBE. Values from VASP.

```
&SYSTEM
  ibrav = 0, nat = 8, ntyp = 4
/
ATOMIC_SPECIES
Zn 65.41 Zn.upf
Al 26.98 Al.upf
La 138.91 La.upf
Li 6.94 Li.upf
ATOMIC_POSITIONS angstrom
Zn 2.212 1.277 5.156
Al 6.635 3.831 6.212
Zn 4.424 2.554 6.823
Al 2.212 1.277 2.347
La 0.000 0.000 0.000
Li 4.424 2.554 4.280
Zn 4.424 2.554 1.736
Zn 6.635 3.831 3.404
CELL_PARAMETERS angstrom
4.424 0.000 0.000
2.212 3.831 0.000
2.212 1.277 8.560
```

## Properties
Its spin magnetization is 0.00 μB per formula unit. The formation energy from the elements is -0.26 eV/atom. The final energy is -2.691 eV per atom. Its space group is No. 166.